Entry 1:
Below is Sc6Hg7 after structural relaxation, with properties calculated at the PBE level.

Summary:
**Symmetry**: No. 166
**DFT total energy**: -3.218 eV per atom
**Crystal system**: trigonal

Geometry as extended XYZ:
```
13
Lattice="2.943 1.699 9.972 -2.943 1.699 9.972 0.000 -3.398 9.972" Properties=species:S:1:pos:R:3 pbc="T T T"
Sc 0.000 0.000 1.506
Sc 0.000 0.000 4.752
Sc 0.000 0.000 9.939
Sc 0.000 0.000 19.979
Sc 0.000 0.000 25.165
Sc 0.000 0.000 28.412
Hg -1.486 -0.858 12.519
Hg 0.000 -1.715 17.398
Hg -1.486 0.858 17.398
Hg 0.000 0.000 14.959
Hg 1.486 -0.858 12.519
Hg 0.000 1.715 12.519
Hg 1.486 0.858 17.398
```

Entry 2:
Below is La2TaW after structural relaxation, with properties calculated at the PBE level.

Summary:
**Symmetry**: No. 65
**Polymorph energy (0 for the lowest one)**: 0.460 eV/atom
**Crystal system**: orthorhombic

Geometry as extended XYZ:
```
4
Lattice="2.951 -5.325 0.000 2.951 5.325 0.000 0.000 0.000 2.968" Properties=species:S:1:pos:R:3 pbc="T T T"
La 1.476 2.662 0.000
La 1.476 -2.662 0.000
Ta 0.000 0.000 1.484
W 2.951 0.000 1.484
```

Number 1: mass density 9.291 g cm⁻³, total magnetic moment 0.001 μB/atom. Number 2: mass density 11.440 g cm⁻³, total magnetic moment 0.000 μB/atom.